LiThGaS4: relaxed, PBE-GGA.

Values from the calculation:
Total moment = 0.00 μB per cell
Uncorrected formation energy = -1.258 eV per atom
Symmetry = Imma (74)

a = 7.5624 Å, b = 7.6811 Å, c = 7.6811 Å
α = 64.47°, β = 60.51°, γ = 60.51°
Last column: nearest neighbours and their distance in Å.
Atoms (fractional coordinates):
Li (0.5000, 0.0000, 0.5000)  6 S 2.60-2.82
Li (0.0000, 0.0000, 0.5000)  6 S 2.60-2.82
Th (0.0000, 0.0000, 0.0000)  6 S 2.73-2.80
Th (0.0000, 0.5000, 0.5000)  6 S 2.73-2.80
Ga (0.6384, 0.6116, 0.1116)  4 S 2.28-2.40
Ga (0.3616, 0.3884, 0.8884)  4 S 2.28-2.40
S (0.7413, 0.7535, 0.7639)  1 Ga 2.28
S (0.2587, 0.7361, 0.7465)  1 Ga 2.28
S (0.7413, 0.2639, 0.2535)  1 Ga 2.28
S (0.2587, 0.2465, 0.2361)  1 Ga 2.28
S (0.2487, 0.7543, 0.2543)  1 Ga 2.40, 1 Li 2.60
S (0.7426, 0.7543, 0.2543)  1 Ga 2.40, 1 Li 2.60
S (0.2574, 0.2457, 0.7457)  1 Ga 2.40, 1 Li 2.60
S (0.7513, 0.2457, 0.7457)  1 Ga 2.40, 1 Li 2.60



Li3Tm3GaS8: relaxed, PBE-GGA.

Values from the calculation:
Total moment = 0.00 μB per cell
Uncorrected formation energy = -1.483 eV per atom
Symmetry = R-3m (166)

a = 7.6434 Å, b = 7.6434 Å, c = 7.4947 Å
α = 120.68°, β = 90.00°, γ = 120.00°
Last column: nearest neighbours and their distance in Å.
Atoms (fractional coordinates):
Li (0.0000, 0.0000, 0.0000)  6 S 2.66-2.67
Li (0.0000, 0.5000, 0.0000)  6 S 2.66-2.67
Li (0.5000, 0.5000, 0.0000)  6 S 2.66-2.67
Tm (0.5000, 0.0000, 0.5000)  6 S 2.68-2.70
Tm (0.5000, 0.5000, 0.5000)  6 S 2.68-2.70
Tm (0.0000, 0.5000, 0.5000)  6 S 2.68-2.70
Ga (0.0000, 0.0000, 0.5000)  6 S 2.52
S (0.2498, 0.4995, 0.2494)  3 Li 2.67, 3 Tm 2.68
S (0.7502, 0.5005, 0.7506)  3 Li 2.67, 3 Tm 2.68
S (0.7642, 0.5284, 0.2607)  1 Ga 2.52, 2 Li 2.66, 2 Tm 2.70
S (0.2358, 0.4716, 0.7393)  1 Ga 2.52, 2 Li 2.66, 2 Tm 2.70
S (0.7642, 0.9964, 0.2607)  1 Ga 2.52, 2 Li 2.66, 2 Tm 2.70
S (0.2358, 0.0036, 0.7393)  1 Ga 2.52, 2 Li 2.66, 2 Tm 2.70
S (0.2322, 0.9964, 0.2607)  1 Ga 2.52, 2 Li 2.66, 2 Tm 2.70
S (0.7678, 0.0036, 0.7393)  1 Ga 2.52, 2 Li 2.66, 2 Tm 2.70



Li4Tm3GaS8: relaxed, PBE-GGA.

Values from the calculation:
Total moment = 0.00 μB per cell
Uncorrected formation energy = -1.578 eV per atom
Symmetry = R-3m (166)

a = 7.5848 Å, b = 7.5525 Å, c = 7.5854 Å
α = 120.16°, β = 120.00°, γ = 90.00°
Last column: nearest neighbours and their distance in Å.
Atoms (fractional coordinates):
Li (0.5000, 0.0000, 0.0000)  6 S 2.78-2.79
Li (0.5000, 0.0000, 0.5000)  6 S 2.66-2.68
Li (0.0000, 0.0000, 0.0000)  6 S 2.66-2.68
Li (0.0000, 0.0000, 0.5000)  6 S 2.66-2.68
Tm (0.5000, 0.5000, 0.0000)  6 S 2.67-2.70
Tm (0.5000, 0.5000, 0.5000)  6 S 2.67-2.70
Tm (0.0000, 0.5000, 0.5000)  6 S 2.67-2.70
Ga (0.0000, 0.5000, 0.0000)  6 S 2.56-2.57
S (0.2395, 0.7429, 0.0035)  1 Ga 2.56, 3 Li 2.66-2.79, 2 Tm 2.70
S (0.2400, 0.7434, 0.4801)  1 Ga 2.57, 3 Li 2.66-2.78, 2 Tm 2.70
S (0.2503, 0.2508, 0.5005)  3 Tm 2.67, 3 Li 2.68
S (0.7641, 0.7429, 0.0035)  1 Ga 2.56, 3 Li 2.66-2.79, 2 Tm 2.70
S (0.2359, 0.2571, 0.9965)  1 Ga 2.56, 3 Li 2.66-2.79, 2 Tm 2.70
S (0.7497, 0.7492, 0.4995)  3 Tm 2.67, 3 Li 2.68
S (0.7600, 0.2566, 0.5199)  1 Ga 2.57, 3 Li 2.66-2.78, 2 Tm 2.70
S (0.7605, 0.2571, 0.9965)  1 Ga 2.56, 3 Li 2.66-2.79, 2 Tm 2.70



LiGaWS2: relaxed, PBE-GGA.

Values from the calculation:
Total moment = 3.60 μB per cell
Uncorrected formation energy = 1.033 eV per atom
Symmetry = P4/mmm (123)

a = 4.8676 Å, b = 4.8937 Å, c = 4.8676 Å
α = 90.00°, β = 90.00°, γ = 90.00°
Last column: nearest neighbours and their distance in Å.
Atoms (fractional coordinates):
S (0.0000, 0.0000, 0.5000)  2 Ga 2.43
S (0.5000, 0.0000, 0.0000)  2 Ga 2.43
Ga (0.0000, 0.0000, 0.0000)  4 S 2.43, 2 W 2.45
W (0.0000, 0.5000, 0.0000)  2 Ga 2.45
Li (0.5000, 0.5000, 0.5000)  4 W 3.44, 8 S 3.45



Li2YGaS4: relaxed, PBE-GGA.

Values from the calculation:
Total moment = 0.00 μB per cell
Uncorrected formation energy = -1.307 eV per atom
Symmetry = Imma (74)

a = 7.5233 Å, b = 7.5233 Å, c = 7.7276 Å
α = 120.91°, β = 120.91°, γ = 90.02°
Last column: nearest neighbours and their distance in Å.
Atoms (fractional coordinates):
Li (0.5000, 0.0000, 0.0000)  6 S 2.60-2.62
Li (0.5000, 0.0000, 0.5000)  6 S 2.60-2.62
Li (0.0000, 0.0000, 0.5000)  6 S 2.64-2.84
Li (0.5000, 0.5000, 0.0000)  6 S 2.64-2.84
Y (0.0000, 0.5000, 0.0000)  6 S 2.70-2.74
Y (0.0000, 0.5000, 0.5000)  6 S 2.70-2.74
Ga (0.5000, 0.5000, 0.5000)  6 S 2.49-2.68
Ga (0.0000, 0.0000, 0.0000)  6 S 2.49-2.68
S (0.2592, 0.7561, 0.0077)  3 Li 2.62-2.64, 1 Ga 2.68, 2 Y 2.70
S (0.7439, 0.2408, 0.4923)  3 Li 2.62-2.64, 1 Ga 2.68, 2 Y 2.70
S (0.2562, 0.7592, 0.5077)  3 Li 2.62-2.64, 1 Ga 2.68, 2 Y 2.70
S (0.7408, 0.2438, 0.9923)  3 Li 2.62-2.64, 1 Ga 2.68, 2 Y 2.70
S (0.7443, 0.7569, 0.9699)  2 Ga 2.49-2.50, 1 Li 2.60, 1 Y 2.74
S (0.7431, 0.7557, 0.5301)  2 Ga 2.49-2.50, 1 Li 2.60, 1 Y 2.74
S (0.2569, 0.2443, 0.4699)  2 Ga 2.49-2.50, 1 Li 2.60, 1 Y 2.74
S (0.2557, 0.2431, 0.0301)  2 Ga 2.49-2.50, 1 Li 2.60, 1 Y 2.74



Li3Y3GaS8: relaxed, PBE-GGA.

Values from the calculation:
Total moment = 0.00 μB per cell
Uncorrected formation energy = -1.472 eV per atom
Symmetry = R-3m (166)

a = 7.7633 Å, b = 7.7637 Å, c = 7.5187 Å
α = 121.10°, β = 90.00°, γ = 120.00°
Last column: nearest neighbours and their distance in Å.
Atoms (fractional coordinates):
Li (0.0000, 0.0000, 0.0000)  6 S 2.67-2.69
Li (0.0000, 0.5000, 0.0000)  6 S 2.67-2.69
Li (0.5000, 0.5000, 0.0000)  6 S 2.67-2.69
Y (0.5000, 0.0000, 0.5000)  6 S 2.71-2.75
Y (0.5000, 0.5000, 0.5000)  6 S 2.71-2.75
Y (0.0000, 0.5000, 0.5000)  6 S 2.71-2.75
Ga (0.0000, 0.0000, 0.5000)  6 S 2.53
S (0.2487, 0.4973, 0.2461)  3 Li 2.69, 3 Y 2.71
S (0.7513, 0.5027, 0.7539)  3 Li 2.69, 3 Y 2.71
S (0.7661, 0.5321, 0.2595)  1 Ga 2.53, 2 Li 2.67, 2 Y 2.75
S (0.2339, 0.4679, 0.7405)  1 Ga 2.53, 2 Li 2.67, 2 Y 2.75
S (0.7661, 0.9934, 0.2596)  1 Ga 2.53, 2 Li 2.67, 2 Y 2.75
S (0.2339, 0.0066, 0.7404)  1 Ga 2.53, 2 Li 2.67, 2 Y 2.75
S (0.2273, 0.9934, 0.2596)  1 Ga 2.53, 2 Li 2.67, 2 Y 2.75
S (0.7727, 0.0066, 0.7404)  1 Ga 2.53, 2 Li 2.67, 2 Y 2.75



- Which value of total moment does entry 4 give?
  3.60 μB per cell